{
  "formula": "Al2Pt",
  "functional": "PBE",
  "state": "relaxed",
  "magmom_total_mub_per_fu": 0.00,
  "formation_energy_ev_per_atom": -0.593,
  "crystal_system": "orthorhombic",
  "vol_a3_per_atom": 15.93,
  "lattice": [[1.5038, -6.7994, 0.0000], [1.5038, 6.7994, 0.0000], [0.0000, 0.0000, 4.6735]],
  "species": ["Pt", "Pt", "Al", "Al", "Al", "Al"],
  "fractional_positions": [[0.7042, 0.2958, 0.2500], [0.2958, 0.7042, 0.7500], [0.6304, 0.3696, 0.7500], [0.3696, 0.6304, 0.2500], [0.9467, 0.0533, 0.7500], [0.0533, 0.9467, 0.2500]]
}

{
  "formula": "AlPt3",
  "functional": "PBE",
  "state": "relaxed",
  "magmom_total_mub_per_fu": 0.00,
  "formation_energy_ev_per_atom": -0.277,
  "crystal_system": "cubic",
  "vol_a3_per_atom": 15.89,
  "lattice": [[5.0277, 0.0000, 0.0000], [0.0000, 5.0277, 0.0000], [0.0000, 0.0000, 5.0277]],
  "species": ["Pt", "Pt", "Pt", "Pt", "Pt", "Pt", "Al", "Al"],
  "fractional_positions": [[0.5000, 0.0000, 0.2500], [0.5000, 0.0000, 0.7500], [0.2500, 0.5000, 0.0000], [0.0000, 0.7500, 0.5000], [0.7500, 0.5000, 0.0000], [0.0000, 0.2500, 0.5000], [0.5000, 0.5000, 0.5000], [0.0000, 0.0000, 0.0000]]
}

Please write out number 1 again, unchanged.
{
  "formula": "Al2Pt",
  "functional": "PBE",
  "state": "relaxed",
  "magmom_total_mub_per_fu": 0.00,
  "formation_energy_ev_per_atom": -0.593,
  "crystal_system": "orthorhombic",
  "vol_a3_per_atom": 15.93,
  "lattice": [[1.5038, -6.7994, 0.0000], [1.5038, 6.7994, 0.0000], [0.0000, 0.0000, 4.6735]],
  "species": ["Pt", "Pt", "Al", "Al", "Al", "Al"],
  "fractional_positions": [[0.7042, 0.2958, 0.2500], [0.2958, 0.7042, 0.7500], [0.6304, 0.3696, 0.7500], [0.3696, 0.6304, 0.2500], [0.9467, 0.0533, 0.7500], [0.0533, 0.9467, 0.2500]]
}